Pa2Mn2Ge2N PBE relaxed; DFT total energy = -59.43 eV for the cell shown; M_tot = 0.000 μB per cell
1.0
5.433 -1.970 0.000
5.433 1.970 0.000
-4.362 0.000 5.344
Pa Mn Ge N
2 2 2 1
Direct
0.046 0.046 0.317 Pa
0.954 0.954 0.683 Pa
0.310 0.310 0.195 Mn
0.690 0.690 0.805 Mn
0.335 0.335 0.866 Ge
0.665 0.665 0.134 Ge
0.500 0.500 0.500 N

Hf2BeVN PBE relaxed; DFT total energy = -35.27 eV for the cell shown; M_tot = 1.778 μB per cell
1.0
4.601 0.000 0.000
0.000 4.601 0.000
0.000 0.000 3.936
Hf Be V N
2 1 1 1
Direct
0.000 0.500 0.000 Hf
0.500 0.000 0.000 Hf
0.000 0.000 0.000 Be
0.000 0.000 0.500 V
0.500 0.500 0.500 N

FeCoBr4 PBE relaxed; E above lowest polymorph = 0.025 eV per atom; DFT total energy = -72.55 eV for the cell shown; M_tot = 21.000 μB per cell
1.0
6.623 0.000 0.000
-3.311 5.736 0.000
0.000 0.000 15.394
Fe Co Br
3 3 12
Direct
0.000 0.454 0.167 Fe
0.454 0.000 0.833 Fe
0.546 0.546 0.500 Fe
0.000 0.457 0.667 Co
0.457 0.000 0.333 Co
0.543 0.543 0.000 Co
0.066 0.683 0.796 Br
0.068 0.688 0.296 Br
0.312 0.381 0.629 Br
0.317 0.383 0.130 Br
0.381 0.312 0.371 Br
0.383 0.317 0.870 Br
0.617 0.934 0.463 Br
0.619 0.932 0.962 Br
0.683 0.066 0.204 Br
0.688 0.068 0.704 Br
0.932 0.619 0.038 Br
0.934 0.617 0.537 Br

Cr2CoNi PBE relaxed; energy of formation from the pure elements = 0.03 eV per atom; E above lowest polymorph = 0.000 eV per atom; DFT total energy = -32.02 eV for the cell shown; M_tot = 0.000 μB per cell
1.0
2.471 0.000 0.000
0.000 4.022 0.000
0.000 0.000 4.416
Cr Co Ni
2 1 1
Direct
0.000 0.000 0.000 Cr
0.000 0.500 0.333 Cr
0.500 0.000 0.502 Co
0.500 0.500 0.831 Ni

Tb3Sm8Y4 PBE relaxed; energy of formation from the pure elements = 0.14 eV per atom; E above lowest polymorph = 0.000 eV per atom; DFT total energy = -75.38 eV for the cell shown; M_tot = 0.040 μB per cell
1.0
3.499 2.020 11.914
-3.499 2.020 11.914
0.000 -4.041 11.914
Tb Sm Y
3 8 4
Direct
0.000 0.500 0.500 Tb
0.500 0.000 0.500 Tb
0.500 0.500 0.000 Tb
0.250 0.250 0.748 Sm
0.250 0.748 0.250 Sm
0.252 0.750 0.750 Sm
0.255 0.255 0.255 Sm
0.745 0.745 0.745 Sm
0.748 0.250 0.250 Sm
0.750 0.252 0.750 Sm
0.750 0.750 0.252 Sm
0.000 0.000 0.000 Y
0.164 0.164 0.164 Y
0.500 0.500 0.500 Y
0.836 0.836 0.836 Y

Tl2HgRhPb PBE relaxed; energy of formation from the pure elements = 0.02 eV per atom; DFT total energy = -15.98 eV for the cell shown; M_tot = 0.000 μB per cell
1.0
5.316 0.000 0.000
0.000 5.316 0.000
0.000 0.000 5.292
Tl Hg Rh Pb
2 1 1 1
Direct
0.000 0.500 0.000 Tl
0.500 0.000 0.000 Tl
0.000 0.000 0.500 Hg
0.500 0.500 0.000 Rh
0.500 0.500 0.500 Pb

LiMnCd PBE relaxed; energy of formation from the pure elements = 0.51 eV per atom; E above lowest polymorph = 0.349 eV per atom; DFT total energy = -10.46 eV for the cell shown; M_tot = 3.940 μB per cell
1.0
0.000 3.078 3.078
3.078 0.000 3.078
3.078 3.078 0.000
Li Mn Cd
1 1 1
Direct
0.000 0.000 0.000 Li
0.250 0.250 0.250 Mn
0.750 0.750 0.750 Cd

CaNdCd4 PBE relaxed; energy of formation from the pure elements = -0.34 eV per atom; E above lowest polymorph = 0.000 eV per atom; DFT total energy = -12.46 eV for the cell shown; M_tot = 0.000 μB per cell
1.0
4.468 -4.282 0.000
4.468 4.282 0.000
-2.787 0.000 4.159
Ca Nd Cd
1 1 4
Direct
0.000 0.000 0.000 Ca
0.458 0.542 0.500 Nd
0.044 0.416 0.730 Cd
0.431 0.136 0.784 Cd
0.584 0.956 0.270 Cd
0.864 0.569 0.216 Cd

Ba2ZrSbAu PBE relaxed; DFT total energy = -19.99 eV for the cell shown; M_tot = 1.629 μB per cell
1.0
6.182 0.000 0.000
0.000 6.182 0.000
0.000 0.000 5.313
Ba Zr Sb Au
2 1 1 1
Direct
0.000 0.500 0.000 Ba
0.500 0.000 0.000 Ba
0.000 0.000 0.500 Zr
0.500 0.500 0.500 Sb
0.000 0.000 0.000 Au

Ac2SnPd9 PBE relaxed; energy of formation from the pure elements = -0.48 eV per atom; DFT total energy = -64.73 eV for the cell shown; M_tot = 0.000 μB per cell
1.0
2.736 1.580 9.219
-2.736 1.580 9.219
0.000 -3.159 9.219
Ac Sn Pd
2 1 9
Direct
0.134 0.134 0.134 Ac
0.866 0.866 0.866 Ac
0.000 0.000 0.000 Sn
0.082 0.584 0.584 Pd
0.333 0.333 0.333 Pd
0.416 0.416 0.918 Pd
0.416 0.918 0.416 Pd
0.500 0.500 0.500 Pd
0.584 0.082 0.584 Pd
0.584 0.584 0.082 Pd
0.667 0.667 0.667 Pd
0.918 0.416 0.416 Pd

CaAuSe PBE relaxed; E above lowest polymorph = 0.096 eV per atom; DFT total energy = -11.44 eV for the cell shown; M_tot = 0.000 μB per cell
1.0
4.542 0.000 0.000
-2.271 3.933 0.000
0.000 0.000 5.435
Ca Au Se
1 1 1
Direct
0.000 0.000 0.000 Ca
0.667 0.333 0.688 Au
0.667 0.333 0.212 Se

ErTl2Cl8 PBE relaxed; DFT total energy = -36.80 eV for the cell shown; M_tot = 0.000 μB per cell
1.0
7.271 -4.045 0.000
7.271 4.045 0.000
-0.886 0.000 6.727
Er Tl Cl
1 2 8
Direct
0.000 0.000 0.000 Er
0.180 0.180 0.634 Tl
0.820 0.820 0.366 Tl
0.150 0.705 0.218 Cl
0.159 0.159 0.237 Cl
0.295 0.850 0.782 Cl
0.349 0.349 0.721 Cl
0.651 0.651 0.279 Cl
0.705 0.150 0.218 Cl
0.841 0.841 0.763 Cl
0.850 0.295 0.782 Cl

Pr8NdTl6 PBE relaxed; energy of formation from the pure elements = -0.18 eV per atom; DFT total energy = -59.85 eV for the cell shown; M_tot = 0.005 μB per cell
1.0
4.713 2.721 6.691
-4.713 2.721 6.691
0.000 -5.442 6.691
Pr Nd Tl
8 1 6
Direct
0.052 0.387 0.721 Pr
0.166 0.166 0.166 Pr
0.279 0.948 0.613 Pr
0.387 0.721 0.052 Pr
0.613 0.279 0.948 Pr
0.721 0.052 0.387 Pr
0.834 0.834 0.834 Pr
0.948 0.613 0.279 Pr
0.500 0.500 0.500 Nd
0.111 0.775 0.443 Tl
0.225 0.557 0.889 Tl
0.443 0.111 0.775 Tl
0.557 0.889 0.225 Tl
0.775 0.443 0.111 Tl
0.889 0.225 0.557 Tl

Pr2Er2Pt15 PBE relaxed; energy of formation from the pure elements = -0.74 eV per atom; DFT total energy = -123.37 eV for the cell shown; M_tot = 0.000 μB per cell
1.0
4.687 2.706 4.617
-4.687 2.706 4.617
0.000 -5.412 4.617
Pr Er Pt
2 2 15
Direct
0.144 0.144 0.144 Pr
0.856 0.856 0.856 Pr
0.394 0.394 0.394 Er
0.606 0.606 0.606 Er
0.000 0.500 0.500 Pt
0.154 0.154 0.658 Pt
0.154 0.658 0.154 Pt
0.191 0.500 0.809 Pt
0.191 0.809 0.500 Pt
0.342 0.846 0.846 Pt
0.500 0.000 0.500 Pt
0.500 0.191 0.809 Pt
0.500 0.500 0.000 Pt
0.500 0.809 0.191 Pt
0.658 0.154 0.154 Pt
0.809 0.191 0.500 Pt
0.809 0.500 0.191 Pt
0.846 0.342 0.846 Pt
0.846 0.846 0.342 Pt

TbSc2Os PBE relaxed; energy of formation from the pure elements = -0.25 eV per atom; E above lowest polymorph = 0.025 eV per atom; DFT total energy = -29.52 eV for the cell shown; M_tot = 0.000 μB per cell
1.0
3.257 0.000 0.000
0.000 3.257 0.000
0.000 0.000 8.526
Tb Sc Os
1 2 1
Direct
0.000 0.000 0.000 Tb
0.500 0.500 0.320 Sc
0.500 0.500 0.680 Sc
0.000 0.000 0.500 Os

Ba2LiPbCl PBE relaxed; DFT total energy = -15.85 eV for the cell shown; M_tot = 0.000 μB per cell
1.0
6.180 0.000 0.000
0.000 6.180 0.000
0.000 0.000 4.694
Ba Li Pb Cl
2 1 1 1
Direct
0.000 0.500 0.000 Ba
0.500 0.000 0.000 Ba
0.000 0.000 0.500 Li
0.500 0.500 0.500 Pb
0.000 0.000 0.000 Cl

Sr2Mg2Bi2Sb PBE relaxed; DFT total energy = -22.63 eV for the cell shown; M_tot = 0.000 μB per cell
1.0
4.816 0.000 0.000
2.398 7.102 0.000
2.392 2.039 6.975
Sr Mg Bi Sb
2 2 2 1
Direct
0.061 0.190 0.189 Sr
0.939 0.810 0.811 Sr
0.285 0.581 0.349 Mg
0.715 0.419 0.651 Mg
0.341 0.177 0.639 Bi
0.659 0.823 0.361 Bi
0.500 0.500 0.000 Sb

LiAc2Zn3Pt4 PBE relaxed; energy of formation from the pure elements = -0.80 eV per atom; DFT total energy = -46.14 eV for the cell shown; M_tot = 0.000 μB per cell
1.0
4.286 0.000 0.000
0.000 4.286 0.000
0.000 0.000 11.062
Li Ac Zn Pt
1 2 3 4
Direct
0.000 0.000 0.000 Li
0.000 0.500 0.745 Ac
0.500 0.000 0.255 Ac
0.000 0.500 0.373 Zn
0.500 0.000 0.627 Zn
0.500 0.500 0.000 Zn
0.000 0.000 0.500 Pt
0.000 0.500 0.141 Pt
0.500 0.000 0.859 Pt
0.500 0.500 0.500 Pt

KZrSb2 PBE relaxed; E above lowest polymorph = 0.377 eV per atom; DFT total energy = -18.37 eV for the cell shown; M_tot = 0.000 μB per cell
1.0
3.215 0.000 0.000
0.000 5.505 0.000
0.000 0.000 6.249
K Zr Sb
1 1 2
Direct
0.000 0.000 0.000 K
0.500 0.500 0.500 Zr
0.000 0.000 0.500 Sb
0.500 0.500 0.000 Sb

NaLa2Te4 PBE relaxed; E above lowest polymorph = 0.000 eV per atom; DFT total energy = -64.76 eV for the cell shown; M_tot = 0.000 μB per cell
1.0
8.062 0.000 0.000
0.000 6.329 0.000
-2.806 0.000 9.029
Na La Te
2 4 8
Direct
0.218 0.250 0.177 Na
0.782 0.750 0.823 Na
0.238 0.750 0.926 La
0.243 0.750 0.446 La
0.757 0.250 0.554 La
0.762 0.250 0.074 La
0.042 0.250 0.870 Te
0.064 0.250 0.409 Te
0.469 0.011 0.748 Te
0.469 0.489 0.748 Te
0.531 0.511 0.252 Te
0.531 0.989 0.252 Te
0.936 0.750 0.591 Te
0.958 0.750 0.130 Te

Tc3PS PBE relaxed; E above lowest polymorph = 0.000 eV per atom; DFT total energy = -36.68 eV for the cell shown; M_tot = 1.565 μB per cell
1.0
4.356 0.000 0.000
0.000 4.356 0.000
0.000 0.000 4.356
Tc P S
3 1 1
Direct
0.000 0.000 0.500 Tc
0.000 0.500 0.000 Tc
0.500 0.000 0.000 Tc
0.500 0.500 0.500 P
0.000 0.000 0.000 S

Rb2AcPa3O12 PBE relaxed; DFT total energy = -142.22 eV for the cell shown; M_tot = 1.812 μB per cell
1.0
4.185 2.416 5.762
-4.185 2.416 5.762
0.000 -4.833 5.762
Rb Ac Pa O
2 1 3 12
Direct
0.119 0.119 0.119 Rb
0.881 0.881 0.881 Rb
0.500 0.500 0.500 Ac
0.000 0.500 0.500 Pa
0.500 0.000 0.500 Pa
0.500 0.500 0.000 Pa
0.092 0.625 0.625 O
0.244 0.244 0.590 O
0.244 0.590 0.244 O
0.375 0.375 0.908 O
0.375 0.908 0.375 O
0.410 0.756 0.756 O
0.590 0.244 0.244 O
0.625 0.092 0.625 O
0.625 0.625 0.092 O
0.756 0.410 0.756 O
0.756 0.756 0.410 O
0.908 0.375 0.375 O

TaMn2Sb PBE relaxed; DFT total energy = -33.38 eV for the cell shown; M_tot = 4.443 μB per cell
1.0
2.960 0.000 0.000
0.000 4.377 0.000
-0.831 0.000 5.067
Ta Mn Sb
1 2 1
Direct
0.000 0.000 0.000 Ta
0.444 0.000 0.449 Mn
0.735 0.500 0.245 Mn
0.388 0.500 0.719 Sb

CdCuIr2 PBE relaxed; energy of formation from the pure elements = 0.30 eV per atom; DFT total energy = -21.54 eV for the cell shown; M_tot = 0.000 μB per cell
1.0
1.384 -2.401 0.000
1.384 2.401 0.000
0.000 0.000 9.372
Cd Cu Ir
1 1 2
Direct
0.000 0.000 0.000 Cd
0.500 0.500 0.744 Cu
0.000 0.000 0.510 Ir
0.500 0.500 0.269 Ir